Crystalline Ba3Ti2MoO9 at its relaxed geometry. Source: Alexandria, functional GGA+U.

- DFT total energy: -7.680 eV per atom

a b c (Å): 5.7412 5.7412 7.0959
angles (deg): 90.00 90.00 120.00
Last column: nearest neighbours and their distance in Å.
Atoms (fractional coordinates):
Ba: 0.0000 0.0000 0.0000  12 O 2.87
Ba: 0.3333 0.6667 0.6696  12 O 2.87-2.93
Ba: 0.6667 0.3333 0.3304  12 O 2.87-2.93
Ti: 0.3333 0.6667 0.1633  6 O 2.00-2.02
Ti: 0.6667 0.3333 0.8367  6 O 2.00-2.02
Mo: 0.0000 0.0000 0.5000  6 O 2.08
O: 0.0000 0.5000 0.0000  2 Ti 2.02
O: 0.1691 0.3383 0.3269  1 Ti 2.00, 1 Mo 2.08
O: 0.1691 0.8309 0.3269  1 Ti 2.00, 1 Mo 2.08
O: 0.3383 0.1691 0.6731  1 Ti 2.00, 1 Mo 2.08
O: 0.5000 0.0000 0.0000  2 Ti 2.02
O: 0.5000 0.5000 0.0000  2 Ti 2.02
O: 0.6617 0.8309 0.3269  1 Ti 2.00, 1 Mo 2.08
O: 0.8309 0.1691 0.6731  1 Ti 2.00, 1 Mo 2.08
O: 0.8309 0.6617 0.6731  1 Ti 2.00, 1 Mo 2.08